1.
DFT (PBE) results for a relaxed Tl2H2S2I crystal.

It has space group C2/m (No. 12), with a = 8.9369 Å, b = 4.4839 Å, c = 10.2328 Å, α = 90.00°, β = 97.47° and γ = 90.00°. The distinct sites, in fractional coordinates, are Tl at (0.2478, 0.0000, 0.2853), H at (0.2091, 0.5000, 0.0465), S at (0.0957, 0.5000, 0.1218) and I at (0.0000, 0.0000, 0.5000).

The total DFT energy (no corrections) is -3.251 eV per atom. The calculation puts the density of states at the Fermi level at 2.82 states/eV per cell.

2.
DFT (PBE) results for a relaxed GdThZn crystal.

It has space group P3m1 (No. 156), with a = 5.0665 Å, b = 5.0665 Å, c = 3.6179 Å, α = 90.00°, β = 90.00° and γ = 120.00°. The distinct sites, in fractional coordinates, are Gd at (0.0000, 0.0000, 0.0000), Th at (0.3333, 0.6667, 0.4396) and Zn at (0.6667, 0.3333, 0.7865).

The calculation puts the density of states at the Fermi level at 3.29 states/eV per cell. As for the calculated formation energy: 4.4 kJ/mol of atoms. The value obtained for the excess energy over the best structure of this formula in the dataset is 178.5 meV/atom.

3.
DFT (PBE) results for a relaxed Rb3Nd3NpO8 crystal.

It has space group R-3m (No. 166, hexagonal axes), with a = 7.2541 Å, b = 7.2541 Å, c = 20.0232 Å, α = 90.00°, β = 90.00° and γ = 120.00°. The distinct sites, in fractional coordinates, are Rb at (0.0000, 0.5000, 0.0000), Nd at (0.0000, 0.5000, 0.5000), Np at (0.0000, 0.0000, 0.5000), O at (0.0000, 0.0000, 0.2254) and O at (0.0206, 0.5103, 0.2226).

The calculation puts the density of states at the Fermi level at 34.89 states/eV per cell. The uncorrected formation energy is -256.1 kJ/mol of atoms.

4.
DFT (PBE) results for a relaxed NbFe crystal.

It has space group F-43m (No. 216), with a = 5.4373 Å, b = 5.4373 Å, c = 5.4373 Å, α = 90.00°, β = 90.00° and γ = 90.00°. The distinct sites, in fractional coordinates, are Nb at (0.0000, 0.0000, 0.0000) and Fe at (0.2500, 0.2500, 0.2500).

The calculation puts the density of states at the Fermi level at 15.03 states/eV per cell. As for the calculated formation energy: 141.7 kJ/mol of atoms.

5.
DFT (PBE) results for a relaxed Li9Cd3Au2 crystal.

It has space group Immm (No. 71), with a = 4.3054 Å, b = 10.4205 Å, c = 11.0202 Å, α = 90.00°, β = 90.00° and γ = 90.00°. The distinct sites, in fractional coordinates, are Li at (0.0000, 0.0000, 0.0000), Li at (0.0000, 0.1385, 0.2337), Li at (0.0000, 0.3692, 0.1189), Cd at (0.0000, 0.0000, 0.5000), Cd at (0.0000, 0.2911, 0.5000) and Au at (0.0000, 0.5000, 0.3265).

The calculation puts the density of states at the Fermi level at 11.08 states/eV per cell. As for the calculated formation energy: -26.0 kJ/mol of atoms.

6.
DFT (PBE) results for a relaxed LaSm3Ru2 crystal.

It has space group C2/m (No. 12), with a = 15.7065 Å, b = 5.1059 Å, c = 8.4590 Å, α = 90.00°, β = 113.22° and γ = 90.00°. The distinct sites, in fractional coordinates, are La at (0.1310, 0.0000, 0.2218), Sm at (0.0689, 0.0000, 0.7304), Sm at (0.1301, 0.5000, 0.5164), Sm at (0.1812, 0.5000, 0.9911), Ru at (0.0123, 0.5000, 0.1625) and Ru at (0.2294, 0.0000, 0.6366).

The calculation puts the density of states at the Fermi level at 18.94 states/eV per cell. As for the calculated formation energy: -10.1 kJ/mol of atoms.

7.
DFT (PBE) results for a relaxed Ce2NdTe crystal.

It has space group P4/mmm (No. 123), with a = 4.2065 Å, b = 4.2065 Å, c = 6.8538 Å, α = 90.00°, β = 90.00° and γ = 90.00°. The distinct sites, in fractional coordinates, are Ce at (0.0000, 0.0000, 0.1919), Nd at (0.5000, 0.5000, 0.5000) and Te at (0.5000, 0.5000, 0.0000).

The calculation puts the density of states at the Fermi level at 8.47 states/eV per cell. The uncorrected formation energy is -53.4 kJ/mol of atoms. The value obtained for the excess energy over the best structure of this formula in the dataset is 0.0 meV/atom.

8.
DFT (PBE) results for a relaxed Ti3PtO crystal.

It has space group Pm-3m (No. 221), with a = 4.8097 Å, b = 4.8097 Å, c = 4.8097 Å, α = 90.00°, β = 90.00° and γ = 90.00°. The distinct sites, in fractional coordinates, are Ti at (0.0000, 0.0000, 0.5000), Pt at (0.0000, 0.0000, 0.0000) and O at (0.5000, 0.5000, 0.5000).

The calculation puts the density of states at the Fermi level at 4.93 states/eV per cell. The uncorrected formation energy is 57.6 kJ/mol of atoms.

9.
DFT (PBE) results for a relaxed Pr2DyCu6 crystal.

It has space group P6/mmm (No. 191), with a = 7.4068 Å, b = 7.4068 Å, c = 3.7294 Å, α = 90.00°, β = 90.00° and γ = 120.00°. The distinct sites, in fractional coordinates, are Pr at (0.3333, 0.6667, 0.0000), Dy at (0.0000, 0.0000, 0.0000) and Cu at (0.0000, 0.3302, 0.5000).

The calculation puts the density of states at the Fermi level at 4.81 states/eV per cell. As for the calculated formation energy: -21.0 kJ/mol of atoms.

10.
DFT (PBE) results for a relaxed SrAsCl2 crystal.

It has space group I-4m2 (No. 119), with a = 4.1138 Å, b = 4.1138 Å, c = 11.9018 Å, α = 90.00°, β = 90.00° and γ = 90.00°. The distinct sites, in fractional coordinates, are Sr at (0.0000, 0.0000, 0.0000), As at (0.0000, 0.5000, 0.7500), Cl at (0.0000, 0.0000, 0.5000) and Cl at (0.0000, 0.5000, 0.2500).

The calculation puts the density of states at the Fermi level at 3.81 states/eV per cell. The uncorrected formation energy is -99.9 kJ/mol of atoms. The value obtained for the excess energy over the best structure of this formula in the dataset is 161.1 meV/atom.

11.
DFT (PBE) results for a relaxed Mg2ZnIr crystal.

It has space group I-4m2 (No. 119), with a = 3.9536 Å, b = 3.9536 Å, c = 8.1390 Å, α = 90.00°, β = 90.00° and γ = 90.00°. The distinct sites, in fractional coordinates, are Mg at (0.0000, 0.0000, 0.0000), Mg at (0.0000, 0.5000, 0.2500), Zn at (0.0000, 0.5000, 0.7500) and Ir at (0.0000, 0.0000, 0.5000).

The calculation puts the density of states at the Fermi level at 2.52 states/eV per cell. As for the calculated formation energy: -28.6 kJ/mol of atoms.

12.
DFT (PBE) results for a relaxed Na2CdH6Rh crystal.

It has space group P-3m1 (No. 164), with a = 5.1813 Å, b = 5.1813 Å, c = 5.2523 Å, α = 90.00°, β = 90.00° and γ = 120.00°. The distinct sites, in fractional coordinates, are Na at (0.3333, 0.6667, 0.3298), Cd at (0.0000, 0.0000, 0.0000), H at (0.1579, 0.3158, 0.6831) and Rh at (0.0000, 0.0000, 0.5000).

The total DFT energy (no corrections) is -3.251 eV per atom. The calculation puts the density of states at the Fermi level at 1.37 states/eV per cell.

no.,total moment (μB/f.u.)
1,0.0
2,7.3
3,3.0
4,0.0
5,0.0
6,0.0
7,0.0
8,2.8
9,0.0
10,0.0
11,0.0
12,0.0